Density functional theory data (GGA-PBE) for a relaxed structure of La2WBr.

Computed properties:
Size of the total moment: 0.000 μB/f.u.
Space-group type: C2/m (12)
Formation energy without anion corrections: -6.4 kJ per mole of atoms
Excess energy over the best structure of this formula in the dataset: 155 meV per atom

The structure in POSCAR format:
```
La2WBr
1.0
3.768 0.064 -0.044
2.020 3.181 -0.044
1.593 0.893 9.382
Br W La
1 1 2
direct
0.250 0.250 0.250
0.750 0.750 0.750
0.520 0.520 0.520
0.980 0.980 0.980
```